{"formula": "YCrPO2", "functional": "PBE with a Hubbard U", "state": "optimized geometry", "cell": [[4.232, 0.000, 0.000], [0.000, 4.232, 0.000], [0.000, 0.000, 5.793]], "species": ["Y", "Cr", "P", "O", "O"], "fractional_positions": [[0.000, 0.000, 0.000], [0.500, 0.500, 0.500], [0.000, 0.000, 0.500], [0.000, 0.500, 0.000], [0.500, 0.000, 0.000]], "dft_energy_ev_per_atom": -6.6011, "spacegroup": "P4/mmm (123)"}